Below is Tm3Ti3Ga8 after structural relaxation, with properties calculated at the PBE-GGA level.

Summary:
D(E_F) = 0.5728 states/eV per atom
Formation energy = -0.50 eV per atom
V = 18.82 Å³/atom
Crystal system = orthorhombic
E = -0.1792 Ha/atom

```
data_Tm3Ti3Ga8
_cell_length_a 4.210
_cell_length_b 9.389
_cell_length_c 8.421
_cell_angle_alpha 123.88
_cell_angle_beta 104.48
_cell_angle_gamma 90.00
_space_group_name_H-M_alt 'P 1'
_space_group_IT_number 1
loop_
_space_group_symop_operation_xyz
'x,y,z'
loop_
_atom_site_label
_atom_site_type_symbol
_atom_site_fract_x
_atom_site_fract_y
_atom_site_fract_z
_atom_site_occupancy
Tm1 Tm 0.500 0.500 0.000 1
Tm2 Tm 0.205 0.205 0.410 1
Tm3 Tm 0.795 0.795 0.590 1
Ti1 Ti 0.500 0.000 0.000 1
Ti2 Ti 0.000 0.818 0.000 1
Ti3 Ti 0.000 0.182 0.000 1
Ga1 Ga 0.364 0.077 0.728 1
Ga2 Ga 0.636 0.923 0.272 1
Ga3 Ga 0.364 0.650 0.728 1
Ga4 Ga 0.636 0.350 0.272 1
Ga5 Ga 0.157 0.792 0.313 1
Ga6 Ga 0.843 0.208 0.687 1
Ga7 Ga 0.157 0.521 0.313 1
Ga8 Ga 0.843 0.479 0.687 1
```

Below is TmTiGa6 after structural relaxation, with properties calculated at the PBE-GGA level.

Summary:
D(E_F) = 0.5553 states/eV per atom
Formation energy = -0.41 eV per atom
V = 17.46 Å³/atom
Crystal system = tetragonal
E = -0.1553 Ha/atom

```
data_TmTiGa6
_cell_length_a 4.126
_cell_length_b 4.126
_cell_length_c 8.203
_cell_angle_alpha 90.00
_cell_angle_beta 90.00
_cell_angle_gamma 90.00
_space_group_name_H-M_alt 'P 1'
_space_group_IT_number 1
loop_
_space_group_symop_operation_xyz
'x,y,z'
loop_
_atom_site_label
_atom_site_type_symbol
_atom_site_fract_x
_atom_site_fract_y
_atom_site_fract_z
_atom_site_occupancy
Tm1 Tm 0.000 0.000 0.000 1
Ti1 Ti 0.000 0.000 0.500 1
Ga1 Ga 0.500 0.500 0.000 1
Ga2 Ga 0.500 0.500 0.500 1
Ga3 Ga 0.500 0.000 0.264 1
Ga4 Ga 0.500 0.000 0.736 1
Ga5 Ga 0.000 0.500 0.264 1
Ga6 Ga 0.000 0.500 0.736 1
```

Below is Tm2TiGa9 after structural relaxation, with properties calculated at the PBE-GGA level.

Summary:
D(E_F) = 0.3563 states/eV per atom
Formation energy = -0.45 eV per atom
V = 17.97 Å³/atom
Crystal system = tetragonal
E = -0.1515 Ha/atom

```
data_Tm2TiGa9
_cell_length_a 4.169
_cell_length_b 4.169
_cell_length_c 12.409
_cell_angle_alpha 90.00
_cell_angle_beta 90.00
_cell_angle_gamma 90.00
_space_group_name_H-M_alt 'P 1'
_space_group_IT_number 1
loop_
_space_group_symop_operation_xyz
'x,y,z'
loop_
_atom_site_label
_atom_site_type_symbol
_atom_site_fract_x
_atom_site_fract_y
_atom_site_fract_z
_atom_site_occupancy
Tm1 Tm 0.000 0.000 0.325 1
Tm2 Tm 0.000 0.000 0.675 1
Ti1 Ti 0.000 0.000 0.000 1
Ga1 Ga 0.500 0.500 0.000 1
Ga2 Ga 0.500 0.500 0.332 1
Ga3 Ga 0.500 0.500 0.668 1
Ga4 Ga 0.500 0.000 0.154 1
Ga5 Ga 0.500 0.000 0.500 1
Ga6 Ga 0.500 0.000 0.846 1
Ga7 Ga 0.000 0.500 0.154 1
Ga8 Ga 0.000 0.500 0.500 1
Ga9 Ga 0.000 0.500 0.846 1
```

Below is TmTiGa3 after structural relaxation, with properties calculated at the PBE-GGA level.

Summary:
D(E_F) = 0.7643 states/eV per atom
Formation energy = -0.27 eV per atom
V = 20.06 Å³/atom
Crystal system = orthorhombic
E = -0.1675 Ha/atom

```
data_TmTiGa3
_cell_length_a 5.581
_cell_length_b 9.367
_cell_length_c 7.674
_cell_angle_alpha 90.00
_cell_angle_beta 90.00
_cell_angle_gamma 90.00
_space_group_name_H-M_alt 'P 1'
_space_group_IT_number 1
loop_
_space_group_symop_operation_xyz
'x,y,z'
loop_
_atom_site_label
_atom_site_type_symbol
_atom_site_fract_x
_atom_site_fract_y
_atom_site_fract_z
_atom_site_occupancy
Tm1 Tm 0.500 0.495 0.750 1
Tm2 Tm 0.000 0.995 0.250 1
Tm3 Tm 0.500 0.505 0.250 1
Tm4 Tm 0.000 0.005 0.750 1
Ti1 Ti 0.000 0.500 0.000 1
Ti2 Ti 0.500 0.000 0.500 1
Ti3 Ti 0.500 0.000 0.000 1
Ti4 Ti 0.000 0.500 0.500 1
Ga1 Ga 0.750 0.250 0.040 1
Ga2 Ga 0.750 0.750 0.540 1
Ga3 Ga 0.750 0.750 0.960 1
Ga4 Ga 0.250 0.750 0.540 1
Ga5 Ga 0.250 0.750 0.960 1
Ga6 Ga 0.250 0.250 0.460 1
Ga7 Ga 0.250 0.250 0.040 1
Ga8 Ga 0.750 0.250 0.460 1
Ga9 Ga 0.500 0.171 0.750 1
Ga10 Ga 0.000 0.671 0.250 1
Ga11 Ga 0.500 0.829 0.250 1
Ga12 Ga 0.000 0.329 0.750 1
```

Below is TmTiGa2 after structural relaxation, with properties calculated at the PBE-GGA level.

Summary:
D(E_F) = 1.0642 states/eV per atom
Formation energy = -0.37 eV per atom
V = 18.94 Å³/atom
Offset from the most stable computed form = 0.058 eV per atom
Crystal system = cubic
E = -0.1828 Ha/atom

```
data_TmTiGa2
_cell_length_a 4.750
_cell_length_b 4.750
_cell_length_c 4.750
_cell_angle_alpha 60.00
_cell_angle_beta 60.00
_cell_angle_gamma 60.00
_space_group_name_H-M_alt 'P 1'
_space_group_IT_number 1
loop_
_space_group_symop_operation_xyz
'x,y,z'
loop_
_atom_site_label
_atom_site_type_symbol
_atom_site_fract_x
_atom_site_fract_y
_atom_site_fract_z
_atom_site_occupancy
Tm1 Tm 0.000 0.000 0.000 1
Ga1 Ga 0.250 0.250 0.250 1
Ga2 Ga 0.750 0.750 0.750 1
Ti1 Ti 0.500 0.500 0.500 1
```

Below is TmTiGa2 after structural relaxation, with properties calculated at the PBE-GGA level.

Summary:
D(E_F) = 0.7507 states/eV per atom
Formation energy = -0.33 eV per atom
V = 18.98 Å³/atom
Offset from the most stable computed form = 0.094 eV per atom
Crystal system = tetragonal
E = -0.1815 Ha/atom

```
data_TmTiGa2
_cell_length_a 3.159
_cell_length_b 4.902
_cell_length_c 4.902
_cell_angle_alpha 90.00
_cell_angle_beta 90.00
_cell_angle_gamma 90.00
_space_group_name_H-M_alt 'P 1'
_space_group_IT_number 1
loop_
_space_group_symop_operation_xyz
'x,y,z'
loop_
_atom_site_label
_atom_site_type_symbol
_atom_site_fract_x
_atom_site_fract_y
_atom_site_fract_z
_atom_site_occupancy
Tm1 Tm 0.500 0.500 0.500 1
Ga1 Ga 0.000 0.000 0.500 1
Ga2 Ga 0.000 0.500 0.000 1
Ti1 Ti 0.500 0.000 0.000 1
```

Below is TmTi4Ga4 after structural relaxation, with properties calculated at the PBE-GGA level.

Summary:
D(E_F) = 0.8011 states/eV per atom
Formation energy = -0.23 eV per atom
V = 18.06 Å³/atom
Crystal system = tetragonal
E = -0.2050 Ha/atom

```
data_TmTi4Ga4
_cell_length_a 5.088
_cell_length_b 7.992
_cell_length_c 7.992
_cell_angle_alpha 90.00
_cell_angle_beta 90.00
_cell_angle_gamma 90.00
_space_group_name_H-M_alt 'P 1'
_space_group_IT_number 1
loop_
_space_group_symop_operation_xyz
'x,y,z'
loop_
_atom_site_label
_atom_site_type_symbol
_atom_site_fract_x
_atom_site_fract_y
_atom_site_fract_z
_atom_site_occupancy
Tm1 Tm 0.000 0.000 0.000 1
Tm2 Tm 0.500 0.500 0.500 1
Ti1 Ti 0.390 0.435 0.858 1
Ti2 Ti 0.890 0.642 0.935 1
Ti3 Ti 0.390 0.565 0.142 1
Ti4 Ti 0.110 0.065 0.642 1
Ti5 Ti 0.610 0.858 0.565 1
Ti6 Ti 0.110 0.935 0.358 1
Ti7 Ti 0.890 0.358 0.065 1
Ti8 Ti 0.610 0.142 0.435 1
Ga1 Ga 0.584 0.876 0.221 1
Ga2 Ga 0.584 0.124 0.779 1
Ga3 Ga 0.084 0.721 0.624 1
Ga4 Ga 0.916 0.376 0.721 1
Ga5 Ga 0.916 0.624 0.279 1
Ga6 Ga 0.416 0.221 0.124 1
Ga7 Ga 0.416 0.779 0.876 1
Ga8 Ga 0.084 0.279 0.376 1
```

Below is Tm2TiGa6 after structural relaxation, with properties calculated at the PBE-GGA level.

Summary:
D(E_F) = 0.3627 states/eV per atom
Formation energy = -0.48 eV per atom
V = 18.91 Å³/atom
Crystal system = trigonal
E = -0.1607 Ha/atom

```
data_Tm2TiGa6
_cell_length_a 5.640
_cell_length_b 5.903
_cell_length_c 5.903
_cell_angle_alpha 59.99
_cell_angle_beta 89.98
_cell_angle_gamma 89.98
_space_group_name_H-M_alt 'P 1'
_space_group_IT_number 1
loop_
_space_group_symop_operation_xyz
'x,y,z'
loop_
_atom_site_label
_atom_site_type_symbol
_atom_site_fract_x
_atom_site_fract_y
_atom_site_fract_z
_atom_site_occupancy
Tm1 Tm 0.837 0.667 0.667 1
Tm2 Tm 0.163 0.333 0.333 1
Ti1 Ti 0.000 0.000 0.000 1
Ga1 Ga 0.324 0.362 0.819 1
Ga2 Ga 0.324 0.819 0.819 1
Ga3 Ga 0.324 0.819 0.362 1
Ga4 Ga 0.676 0.638 0.181 1
Ga5 Ga 0.676 0.181 0.181 1
Ga6 Ga 0.676 0.181 0.638 1
```

Below is TmTiGa4 after structural relaxation, with properties calculated at the PBE-GGA level.

Summary:
D(E_F) = 0.3970 states/eV per atom
Formation energy = -0.40 eV per atom
V = 17.74 Å³/atom
Offset from the most stable computed form = 0.000 eV per atom
Crystal system = orthorhombic
E = -0.1645 Ha/atom

```
data_TmTiGa4
_cell_length_a 4.340
_cell_length_b 5.433
_cell_length_c 5.433
_cell_angle_alpha 88.06
_cell_angle_beta 66.46
_cell_angle_gamma 66.46
_space_group_name_H-M_alt 'P 1'
_space_group_IT_number 1
loop_
_space_group_symop_operation_xyz
'x,y,z'
loop_
_atom_site_label
_atom_site_type_symbol
_atom_site_fract_x
_atom_site_fract_y
_atom_site_fract_z
_atom_site_occupancy
Tm1 Tm 0.000 0.000 0.000 1
Ti1 Ti 0.500 0.500 0.500 1
Ga1 Ga 0.238 0.427 0.097 1
Ga2 Ga 0.238 0.097 0.427 1
Ga3 Ga 0.762 0.573 0.903 1
Ga4 Ga 0.762 0.903 0.573 1
```

Below is Tm4TiGa12 after structural relaxation, with properties calculated at the PBE-GGA level.

Summary:
D(E_F) = 0.4364 states/eV per atom
Formation energy = -0.50 eV per atom
V = 18.93 Å³/atom
Crystal system = cubic
E = -0.1526 Ha/atom

```
data_Tm4TiGa12
_cell_length_a 7.477
_cell_length_b 7.477
_cell_length_c 7.477
_cell_angle_alpha 109.47
_cell_angle_beta 109.47
_cell_angle_gamma 109.47
_space_group_name_H-M_alt 'P 1'
_space_group_IT_number 1
loop_
_space_group_symop_operation_xyz
'x,y,z'
loop_
_atom_site_label
_atom_site_type_symbol
_atom_site_fract_x
_atom_site_fract_y
_atom_site_fract_z
_atom_site_occupancy
Tm1 Tm 0.000 0.000 0.500 1
Tm2 Tm 0.500 0.000 0.000 1
Tm3 Tm 0.500 0.500 0.500 1
Tm4 Tm 0.000 0.500 0.000 1
Ti1 Ti 0.000 0.000 0.000 1
Ga1 Ga 0.000 0.296 0.296 1
Ga2 Ga 0.000 0.704 0.704 1
Ga3 Ga 0.704 0.704 0.000 1
Ga4 Ga 0.296 0.296 0.000 1
Ga5 Ga 0.296 0.000 0.296 1
Ga6 Ga 0.704 0.000 0.704 1
Ga7 Ga 0.500 0.250 0.750 1
Ga8 Ga 0.500 0.750 0.250 1
Ga9 Ga 0.750 0.250 0.500 1
Ga10 Ga 0.250 0.750 0.500 1
Ga11 Ga 0.750 0.500 0.250 1
Ga12 Ga 0.250 0.500 0.750 1
```

Below is TmTiGa2 after structural relaxation, with properties calculated at the PBE-GGA level.

Summary:
D(E_F) = 0.7912 states/eV per atom
Formation energy = -0.25 eV per atom
V = 20.38 Å³/atom
Offset from the most stable computed form = 0.175 eV per atom
Crystal system = trigonal
E = -0.1785 Ha/atom

```
data_TmTiGa2
_cell_length_a 3.388
_cell_length_b 3.388
_cell_length_c 8.430
_cell_angle_alpha 78.41
_cell_angle_beta 78.41
_cell_angle_gamma 60.00
_space_group_name_H-M_alt 'P 1'
_space_group_IT_number 1
loop_
_space_group_symop_operation_xyz
'x,y,z'
loop_
_atom_site_label
_atom_site_type_symbol
_atom_site_fract_x
_atom_site_fract_y
_atom_site_fract_z
_atom_site_occupancy
Tm1 Tm 0.500 0.500 0.500 1
Ga1 Ga 0.743 0.743 0.772 1
Ga2 Ga 0.257 0.257 0.228 1
Ti1 Ti 0.000 0.000 0.000 1
```